1.
Computed, not measured: LiLaNdRh after structural relaxation at the PBE level of DFT.

Output
symmetry: No. 216
ΔH_f (0 K): -31.77 kJ per mole of atoms

Cell: 5.147 5.147 5.147 Å, 60.00 60.00 60.00°
Positions (direct):
Li (0.000, 0.000, 0.000)
La (0.750, 0.750, 0.750)
Nd (0.250, 0.250, 0.250)
Rh (0.500, 0.500, 0.500)

***

2.
Computed, not measured: TbGdMg2 after structural relaxation at the PBE level of DFT.

Output
symmetry: No. 225
ΔH_f (0 K): -9.44 kJ per mole of atoms
distance to the lowest polymorph of the same formula: 2.9 meV/atom

Cell: 5.390 5.390 5.390 Å, 60.00 60.00 60.00°
Positions (direct):
Tb (0.000, 0.000, 0.000)
Gd (0.500, 0.500, 0.500)
Mg (0.250, 0.250, 0.250)
Mg (0.750, 0.750, 0.750)